[1]
Below is ZrAlSi2 after structural relaxation, with properties calculated at the PBE level.

Properties
The total magnetization is 0.000 Bohr magnetons per cell. For the total energy, the calculation gives -5.77 eV/atom. The density of states at the Fermi level is 10.560 states/eV/cell.

a b c (Å): 3.1075 3.1075 25.1128
angles (deg): 90.00 90.00 120.00
With the nearest neighbours (Å) after each atom.
Fractional coordinates of all 12 atoms:
Zr1 0.0000 0.0000 0.0000  3 Si 2.86, 3 Al 2.98, 6 Zr 3.11
Zr2 0.3333 0.6667 0.6667  3 Si 2.86, 3 Al 2.98, 6 Zr 3.11
Zr3 0.6667 0.3333 0.3333  3 Si 2.86, 3 Al 2.98, 6 Zr 3.11
Al1 0.0000 0.0000 0.7613  3 Si 2.68, 3 Zr 2.98
Al2 0.3333 0.6667 0.4280  3 Si 2.68, 3 Zr 2.98
Al3 0.6667 0.3333 0.0947  3 Si 2.68, 3 Zr 2.98
Si1 0.0000 0.0000 0.2448  3 Si 2.52
Si2 0.0000 0.0000 0.5074  3 Si 2.52, 3 Al 2.68
Si3 0.3333 0.6667 0.1741  3 Si 2.52, 3 Al 2.68
Si4 0.3333 0.6667 0.9115  3 Si 2.52
Si5 0.6667 0.3333 0.5781  3 Si 2.52
Si6 0.6667 0.3333 0.8408  3 Si 2.52, 3 Al 2.68

[2]
Below is Pm2Sm2Tl5 after structural relaxation, with properties calculated at the PBE level.

Properties
The total magnetization is 0.000 Bohr magnetons per cell. For the total energy, the calculation gives -3.61 eV/atom. The density of states at the Fermi level is 15.466 states/eV/cell.

a b c (Å): 9.9890 9.9890 9.9890
angles (deg): 137.50 75.14 121.28
With the nearest neighbours (Å) after each atom.
Fractional coordinates of all 18 atoms:
Pm1 0.1510 0.0201 0.1309  6 Tl 3.17-3.45
Pm2 0.3891 0.0201 0.3691  6 Tl 3.17-3.45
Pm3 0.6109 0.9799 0.6309  6 Tl 3.17-3.45
Pm4 0.8490 0.9799 0.8691  6 Tl 3.17-3.45
Sm1 0.0000 0.5000 0.5000  4 Tl 3.14
Sm2 0.2244 0.4744 0.7500  6 Tl 3.25-3.28
Sm3 0.5000 0.5000 0.0000  4 Tl 3.14
Sm4 0.7756 0.5256 0.2500  6 Tl 3.25-3.28
Tl1 0.1024 0.0000 0.6024  2 Tl 3.11-3.24, 2 Pm 3.22, 2 Sm 3.28
Tl2 0.1024 0.5000 0.1024  2 Tl 3.11-3.24, 2 Pm 3.22, 2 Sm 3.28
Tl3 0.2990 0.0000 0.7990  2 Tl 3.11-3.18, 2 Sm 3.14, 2 Pm 3.17
Tl4 0.2990 0.5000 0.2990  2 Tl 3.11-3.18, 2 Sm 3.14, 2 Pm 3.17
Tl5 0.5000 0.0000 0.0000  2 Tl 3.18, 2 Sm 3.25, 4 Pm 3.45
Tl6 0.5000 0.5000 0.5000  2 Tl 3.18, 2 Sm 3.25, 4 Pm 3.45
Tl7 0.7010 0.0000 0.2010  2 Tl 3.11-3.18, 2 Sm 3.14, 2 Pm 3.17
Tl8 0.7010 0.5000 0.7010  2 Tl 3.11-3.18, 2 Sm 3.14, 2 Pm 3.17
Tl9 0.8976 0.0000 0.3976  2 Tl 3.11-3.24, 2 Pm 3.22, 2 Sm 3.28
Tl10 0.8976 0.5000 0.8976  2 Tl 3.11-3.24, 2 Pm 3.22, 2 Sm 3.28

[3]
Below is BeRhPb2 after structural relaxation, with properties calculated at the PBE level.

Properties
The total magnetization is 0.000 Bohr magnetons per cell. For the total energy, the calculation gives -4.23 eV/atom. The density of states at the Fermi level is 1.649 states/eV/cell.

a b c (Å): 3.5732 3.4245 6.6157
angles (deg): 90.00 100.79 90.00
With the nearest neighbours (Å) after each atom.
Fractional coordinates of all 4 atoms:
Be1 0.0000 0.0000 0.0000  4 Pb 2.71
Rh1 0.0000 0.0000 0.5000  8 Pb 2.86-3.04
Pb1 0.4561 0.5000 0.2527  2 Be 2.71, 2 Rh 2.86
Pb2 0.5439 0.5000 0.7473  2 Be 2.71, 2 Rh 2.86

[4]
Below is TlCuAgAu2 after structural relaxation, with properties calculated at the PBE level.

Properties
The total magnetization is 0.000 Bohr magnetons per cell. For the total energy, the calculation gives -2.72 eV/atom. The density of states at the Fermi level is 1.822 states/eV/cell.

a b c (Å): 4.8923 4.8923 4.9506
angles (deg): 90.00 90.00 90.00
With the nearest neighbours (Å) after each atom.
Fractional coordinates of all 5 atoms:
Tl1 0.0000 0.0000 0.0000  2 Cu 2.48
Cu1 0.0000 0.0000 0.5000  4 Au 2.45, 2 Tl 2.48
Ag1 0.5000 0.5000 0.0000  4 Tl 3.46, 8 Au 3.48
Au1 0.0000 0.5000 0.5000  2 Cu 2.45
Au2 0.5000 0.0000 0.5000  2 Cu 2.45

[5]
Below is Si2BiSeS after structural relaxation, with properties calculated at the PBE level.

Properties
The total magnetization is 0.000 Bohr magnetons per cell. For the total energy, the calculation gives -3.86 eV/atom. The density of states at the Fermi level is 3.016 states/eV/cell.

a b c (Å): 4.8471 4.8471 4.8321
angles (deg): 90.00 90.00 90.00
With the nearest neighbours (Å) after each atom.
Fractional coordinates of all 5 atoms:
Si1 0.0000 0.5000 0.0000  2 S 2.42
Si2 0.5000 0.0000 0.0000  2 S 2.42
Bi1 0.0000 0.0000 0.5000  8 Si 3.42, 4 Se 3.43
Se1 0.5000 0.5000 0.5000  2 S 2.42
S1 0.5000 0.5000 0.0000  2 Se 2.42, 4 Si 2.42

[6]
Below is LaSe2NF after structural relaxation, with properties calculated at the PBE level.

Properties
The offset from the most stable computed form is 0 meV/atom. The total magnetization is 1.396 Bohr magnetons per cell. For the total energy, the calculation gives -4.56 eV/atom. The density of states at the Fermi level is 2.331 states/eV/cell.

a b c (Å): 4.3126 4.3126 5.1094
angles (deg): 90.00 90.00 90.00
With the nearest neighbours (Å) after each atom.
Fractional coordinates of all 5 atoms:
La1 0.0000 0.0000 0.0000  4 N 3.05, 8 Se 3.34
Se1 0.0000 0.5000 0.5000  2 F 2.16
Se2 0.5000 0.0000 0.5000  2 F 2.16
N1 0.5000 0.5000 0.0000  2 F 2.55
F1 0.5000 0.5000 0.5000  4 Se 2.16

Q: Which of these has the highest total magnetization?
A: LaSe2NF